DFT (GGA+U) results for K2CrO4 after structural relaxation.

```
data_K2CrO4
_cell_length_a 3.932
_cell_length_b 3.932
_cell_length_c 7.184
_cell_angle_alpha 74.12
_cell_angle_beta 74.12
_cell_angle_gamma 90.00
_symmetry_space_group_name_H-M 'P 1'
_symmetry_Int_Tables_number 1
loop_
_symmetry_equiv_pos_as_xyz
'x,y,z'
loop_
_atom_site_label
_atom_site_type_symbol
_atom_site_fract_x
_atom_site_fract_y
_atom_site_fract_z
O1 O 0.866 0.866 0.267
O2 O 0.134 0.134 0.733
O3 O 0.000 0.500 0.000
O4 O 0.500 0.000 0.000
Cr1 Cr 0.000 0.000 0.000
K1 K 0.351 0.351 0.298
K2 K 0.649 0.649 0.702
```

Output
Energy above the lowest structure with this stoichiometry, eV per atom: 0.4227
Magnetic moment, μB/atom: 0.000
E_tot, eV per atom: -5.487